# Al9Co2, optimized geometry, DFT PBE-GGA
# Crystal system ... monoclinic
# Final energy ... -4.686 eV per atom
data_Al9Co2
_cell_length_a 6.192
_cell_length_b 6.274
_cell_length_c 8.542
_cell_angle_alpha 90.00
_cell_angle_beta 94.97
_cell_angle_gamma 90.00
_space_group_name_H-M_alt 'P 1 21/c 1'
_space_group_IT_number 14
loop_
_space_group_symop_operation_xyz
'x,y,z'
'-x,-y,-z'
'-x,y+1/2,-z+1/2'
'x,-y+1/2,z+1/2'
loop_
_atom_site_label
_atom_site_type_symbol
_atom_site_fract_x
_atom_site_fract_y
_atom_site_fract_z
Al1 Al 0.000 0.000 0.000
Al2 Al 0.088 0.211 0.730
Al3 Al 0.215 0.613 0.044
Al4 Al 0.391 0.192 0.997
Al5 Al 0.406 0.534 0.767
Co1 Co 0.264 0.618 0.333

=====

# Y2ZrNb, optimized geometry, DFT PBE-GGA
# Formation energy ... 0.308 eV per atom
# Crystal system ... cubic
data_Y2ZrNb
_cell_length_a 7.343
_cell_length_b 7.343
_cell_length_c 7.343
_cell_angle_alpha 90.00
_cell_angle_beta 90.00
_cell_angle_gamma 90.00
_space_group_name_H-M_alt 'F -4 3 m'
_space_group_IT_number 216
_space_group_name_Hall 'F -4 2 3'
loop_
_atom_site_label
_atom_site_type_symbol
_atom_site_fract_x
_atom_site_fract_y
_atom_site_fract_z
Y1 Y 0.000 0.000 0.000
Y2 Y 0.250 0.250 0.250
Zr1 Zr 0.250 0.250 0.750
Nb1 Nb 0.000 0.000 0.500

=====

# ZrAs2Pb, optimized geometry, DFT PBE-GGA
# Crystal system ... cubic
# Final energy ... -5.170 eV per atom
data_ZrAs2Pb
_cell_length_a 7.090
_cell_length_b 7.090
_cell_length_c 7.090
_cell_angle_alpha 90.00
_cell_angle_beta 90.00
_cell_angle_gamma 90.00
_space_group_name_H-M_alt 'F -4 3 m'
_space_group_IT_number 216
_space_group_name_Hall 'F -4 2 3'
loop_
_atom_site_label
_atom_site_type_symbol
_atom_site_fract_x
_atom_site_fract_y
_atom_site_fract_z
Zr1 Zr 0.000 0.000 0.000
As1 As 0.000 0.000 0.500
As2 As 0.250 0.250 0.750
Pb1 Pb 0.250 0.250 0.250

=====

# ScNbN2O, optimized geometry, DFT PBE-GGA
# Crystal system ... monoclinic
# Final energy ... -9.250 eV per atom
data_ScNbN2O
_cell_length_a 7.836
_cell_length_b 7.647
_cell_length_c 11.027
_cell_angle_alpha 90.00
_cell_angle_beta 134.28
_cell_angle_gamma 90.00
_space_group_name_H-M_alt 'P 1 21/c 1'
_space_group_IT_number 14
loop_
_space_group_symop_operation_xyz
'x,y,z'
'-x,-y,-z'
'-x,y+1/2,-z+1/2'
'x,-y+1/2,z+1/2'
loop_
_atom_site_label
_atom_site_type_symbol
_atom_site_fract_x
_atom_site_fract_y
_atom_site_fract_z
Sc1 Sc 0.163 0.025 0.465
Sc2 Sc 0.221 0.032 0.981
Nb1 Nb 0.282 0.737 0.784
Nb2 Nb 0.293 0.244 0.265
N1 N 0.150 0.004 0.171
N2 N 0.277 0.501 0.309
N3 N 0.400 0.684 0.008
N4 N 0.415 0.230 0.656
O1 O 0.043 0.675 0.009
O2 O 0.080 0.247 0.321

=====

# NiBi2Pb, optimized geometry, DFT PBE-GGA
# Crystal system ... cubic
# Final energy ... -3.919 eV per atom
data_NiBi2Pb
_cell_length_a 7.502
_cell_length_b 7.502
_cell_length_c 7.502
_cell_angle_alpha 90.00
_cell_angle_beta 90.00
_cell_angle_gamma 90.00
_space_group_name_H-M_alt 'F -4 3 m'
_space_group_IT_number 216
_space_group_name_Hall 'F -4 2 3'
loop_
_atom_site_label
_atom_site_type_symbol
_atom_site_fract_x
_atom_site_fract_y
_atom_site_fract_z
Ni1 Ni 0.000 0.000 0.000
Bi1 Bi 0.000 0.000 0.500
Bi2 Bi 0.250 0.250 0.750
Pb1 Pb 0.250 0.250 0.250

=====

# HoUFe, optimized geometry, DFT PBE-GGA
# ΔE to the lowest computed polymorph ... 0 meV per atom
# Formation energy ... 0.492 eV per atom
# Crystal system ... cubic
data_HoUFe
_cell_length_a 6.445
_cell_length_b 6.445
_cell_length_c 6.445
_cell_angle_alpha 90.00
_cell_angle_beta 90.00
_cell_angle_gamma 90.00
_space_group_name_H-M_alt 'F -4 3 m'
_space_group_IT_number 216
_space_group_name_Hall 'F -4 2 3'
loop_
_atom_site_label
_atom_site_type_symbol
_atom_site_fract_x
_atom_site_fract_y
_atom_site_fract_z
Ho1 Ho 0.000 0.000 0.000
U1 U 0.000 0.000 0.500
Fe1 Fe 0.250 0.250 0.750

=====

# Ta2CdS5, optimized geometry, DFT PBE-GGA
# Crystal system ... orthorhombic
# Final energy ... -6.377 eV per atom
data_Ta2CdS5
_cell_length_a 3.463
_cell_length_b 13.496
_cell_length_c 15.151
_cell_angle_alpha 90.00
_cell_angle_beta 90.00
_cell_angle_gamma 90.00
_space_group_name_H-M_alt 'C m c m'
_space_group_IT_number 63
_space_group_name_Hall '-C 2c 2'
loop_
_atom_site_label
_atom_site_type_symbol
_atom_site_fract_x
_atom_site_fract_y
_atom_site_fract_z
Ta1 Ta 0.000 0.206 0.081
Cd1 Cd 0.000 0.418 0.750
S1 S 0.000 0.164 0.576
S2 S 0.000 0.234 0.250
S3 S 0.000 0.431 0.590

=====

# Pr2Dy2CI3Br2, optimized geometry, DFT PBE-GGA
# ΔE to the lowest computed polymorph ... 4 meV per atom
# Crystal system ... monoclinic
data_Pr2Dy2CI3Br2
_cell_length_a 18.813
_cell_length_b 3.961
_cell_length_c 8.579
_cell_angle_alpha 90.00
_cell_angle_beta 103.02
_cell_angle_gamma 90.00
_space_group_name_H-M_alt 'C 1 2/m 1'
_space_group_IT_number 12
loop_
_space_group_symop_operation_xyz
'x,y,z'
'-x,-y,-z'
'-x,y,-z'
'x,-y,z'
'x+1/2,y+1/2,z'
'-x+1/2,-y+1/2,-z'
'-x+1/2,y+1/2,-z'
'x+1/2,-y+1/2,z'
loop_
_atom_site_label
_atom_site_type_symbol
_atom_site_fract_x
_atom_site_fract_y
_atom_site_fract_z
Pr1 Pr 0.139 0.000 0.074
Dy1 Dy 0.000 0.500 0.190
C1 C 0.000 0.000 0.000
I1 I 0.000 0.000 0.500
I2 I 0.168 0.500 0.802
Br1 Br 0.154 0.500 0.340

=====

# LaIrNO, optimized geometry, DFT PBE-GGA
# ΔE to the lowest computed polymorph ... 33 meV per atom
# Crystal system ... tetragonal
data_LaIrNO
_cell_length_a 4.035
_cell_length_b 4.035
_cell_length_c 7.717
_cell_angle_alpha 90.00
_cell_angle_beta 90.00
_cell_angle_gamma 90.00
_space_group_name_H-M_alt 'P 4/n m m'
_space_group_IT_number 129
loop_
_space_group_symop_operation_xyz
'x,y,z'
'-x,-y,-z'
'-y+1/2,x,z'
'y+1/2,-x,-z'
'-x+1/2,-y+1/2,z'
'x+1/2,y+1/2,-z'
'y,-x+1/2,z'
'-y,x+1/2,-z'
'x+1/2,-y,-z'
'-x+1/2,y,z'
'-y,-x,-z'
'y,x,z'
'-x,y+1/2,-z'
'x,-y+1/2,z'
'y+1/2,x+1/2,-z'
'-y+1/2,-x+1/2,z'
loop_
_atom_site_label
_atom_site_type_symbol
_atom_site_fract_x
_atom_site_fract_y
_atom_site_fract_z
La1 La 0.250 0.250 0.160
Ir1 Ir 0.250 0.750 0.500
N1 N 0.250 0.250 0.586
O1 O 0.250 0.750 0.000

=====

# Lu2AlAu, optimized geometry, DFT PBE-GGA
# Crystal system ... cubic
# Final energy ... -4.225 eV per atom
data_Lu2AlAu
_cell_length_a 7.033
_cell_length_b 7.033
_cell_length_c 7.033
_cell_angle_alpha 90.00
_cell_angle_beta 90.00
_cell_angle_gamma 90.00
_space_group_name_H-M_alt 'F -4 3 m'
_space_group_IT_number 216
_space_group_name_Hall 'F -4 2 3'
loop_
_atom_site_label
_atom_site_type_symbol
_atom_site_fract_x
_atom_site_fract_y
_atom_site_fract_z
Lu1 Lu 0.000 0.000 0.000
Lu2 Lu 0.250 0.250 0.250
Al1 Al 0.000 0.000 0.500
Au1 Au 0.250 0.250 0.750

=====

# TlTcAgSe3, optimized geometry, DFT PBE-GGA
# ΔE to the lowest computed polymorph ... 73 meV per atom
# Crystal system ... monoclinic
data_TlTcAgSe3
_cell_length_a 16.856
_cell_length_b 3.778
_cell_length_c 8.737
_cell_angle_alpha 90.00
_cell_angle_beta 96.42
_cell_angle_gamma 90.00
_space_group_name_H-M_alt 'C 1 2/m 1'
_space_group_IT_number 12
loop_
_space_group_symop_operation_xyz
'x,y,z'
'-x,-y,-z'
'-x,y,-z'
'x,-y,z'
'x+1/2,y+1/2,z'
'-x+1/2,-y+1/2,-z'
'-x+1/2,y+1/2,-z'
'x+1/2,-y+1/2,z'
loop_
_atom_site_label
_atom_site_type_symbol
_atom_site_fract_x
_atom_site_fract_y
_atom_site_fract_z
Tl1 Tl 0.130 0.000 0.103
Tc1 Tc 0.162 0.000 0.598
Ag1 Ag 0.036 0.500 0.716
Se1 Se 0.000 0.000 0.500
Se2 Se 0.000 0.500 0.000
Se3 Se 0.185 0.500 0.410
Se4 Se 0.188 0.500 0.790

=====

# ThSc4Hg5, optimized geometry, DFT PBE-GGA
# Formation energy ... -0.392 eV per atom
# Crystal system ... tetragonal
data_ThSc4Hg5
_cell_length_a 3.512
_cell_length_b 3.512
_cell_length_c 18.646
_cell_angle_alpha 90.00
_cell_angle_beta 90.00
_cell_angle_gamma 90.00
_space_group_name_H-M_alt 'P 4/m m m'
_space_group_IT_number 123
_space_group_name_Hall '-P 4 2'
loop_
_atom_site_label
_atom_site_type_symbol
_atom_site_fract_x
_atom_site_fract_y
_atom_site_fract_z
Th1 Th 0.000 0.000 0.000
Sc1 Sc 0.000 0.000 0.215
Sc2 Sc 0.000 0.000 0.405
Hg1 Hg 0.500 0.500 0.122
Hg2 Hg 0.500 0.500 0.310
Hg3 Hg 0.500 0.500 0.500

=====

Calculated M_tot, 0.00, 0.03, 0.00, 0.00, 0.00, 1.05, 0.00, 0.22, 0.00, 0.00, 0.01, 0.06 μB per formula unit (same order as the records).